[1]
Compound: PrPuPtRh
Source: Alexandria
Functional: PBE
Structure: optimized geometry

Values from the calculation:
ΔE_f = -660 meV per atom
Calculated total energy = -35.14 eV for the cell shown
E above lowest polymorph = 82 meV per atom
Spin magnetization = 5.37 μB per formula unit
SG = No. 216

Cell: 5.0034 5.0034 5.0034 Å, 60.00 60.00 60.00°
Element x y z (fractional)
1 Pr 0.5000 0.5000 0.5000
2 Rh 0.2500 0.2500 0.2500
3 Pt 0.7500 0.7500 0.7500
4 Pu 0.0000 0.0000 0.0000

***

[2]
Compound: Li2CoIr
Source: Alexandria
Functional: PBE
Structure: optimized geometry

Values from the calculation:
ΔE_f = 80 meV per atom
Calculated total energy = -19.48 eV for the cell shown
E above lowest polymorph = 145 meV per atom
Spin magnetization = 1.87 μB per formula unit
SG = No. 65

Cell: 4.8718 4.8718 2.5170 Å, 90.00 90.00 118.88°
Element x y z (fractional)
1 Co 0.5000 0.0000 0.5000
2 Ir 0.0000 0.5000 0.5000
3 Li 0.0000 0.0000 0.0000
4 Li 0.5000 0.5000 0.0000

***

[3]
Compound: YNp2NiS5
Source: Alexandria
Functional: PBE
Structure: optimized geometry

Values from the calculation:
Uncorrected formation energy = -1411 meV/atom
Calculated total energy = -142.93 eV for the cell shown
Spin magnetization = 6.99 μB per formula unit
SG = No. 36

Cell: 3.7369 8.3858 11.6149 Å, 90.00 90.00 102.87°
Element x y z (fractional)
1 Y 0.8223 0.6447 0.5278
2 Y 0.1777 0.3553 0.0278
3 Np 0.8931 0.7861 0.8503
4 Np 0.1164 0.2328 0.6957
5 Np 0.1069 0.2139 0.3503
6 Np 0.8836 0.7672 0.1957
7 Ni 0.5512 0.1024 0.9169
8 Ni 0.4488 0.8976 0.4169
9 S 0.3447 0.6895 0.0211
10 S 0.6821 0.3641 0.8558
11 S 0.4950 0.9900 0.7464
12 S 0.3026 0.6052 0.6971
13 S 0.9883 0.9765 0.5128
14 S 0.6553 0.3105 0.5211
15 S 0.3179 0.6359 0.3558
16 S 0.5050 0.0100 0.2464
17 S 0.6974 0.3948 0.1971
18 S 0.0117 0.0235 0.0128